ZnCo2S5 PBE relaxed; uncorrected formation energy = -0.2507 eV per atom; total magnetization = 0.00 Bohr magnetons per cell; space group = Pmmn (59)
1.0
-0.973 3.020 1.594
-5.884 -0.744 -2.182
-3.210 -6.833 10.988
S Co Zn
10 4 2
direct
0.000 0.849 0.700
0.500 0.846 0.500
0.000 0.671 0.920
0.500 0.151 0.800
0.000 0.154 0.000
0.500 0.329 0.420
0.000 0.671 0.080
0.000 0.849 0.300
0.500 0.151 0.200
0.500 0.329 0.580
0.500 0.022 0.353
0.000 0.978 0.853
0.500 0.022 0.647
0.000 0.978 0.147
0.000 0.595 0.500
0.500 0.405 0.000

=====

Zn2Co4S PBE relaxed; uncorrected formation energy = 0.3565 eV per atom; total magnetization = 3.85 Bohr magnetons per cell; space group = I4/mmm (139)
1.0
4.010 0.000 0.000
0.000 4.010 0.000
2.005 2.005 6.218
Co Zn S
4 2 1
direct
0.000 0.500 0.000
0.500 0.000 0.000
0.169 0.169 0.662
0.831 0.831 0.338
0.637 0.637 0.727
0.363 0.363 0.273
0.000 0.000 0.000

=====

ZnCo2S4 PBE relaxed; uncorrected formation energy = -0.3254 eV per atom; energy above the lowest structure with this stoichiometry = 166 meV per atom; total magnetization = 0.00 Bohr magnetons per cell; space group = Imma (74)
1.0
3.469 -4.944 3.106
2.269 4.627 4.423
-6.688 -0.769 -0.893
Co S Zn
4 8 2
direct
0.000 0.000 0.500
0.500 0.000 0.500
0.000 0.500 0.000
0.000 0.000 0.000
0.765 0.236 0.971
0.235 0.764 0.029
0.235 0.206 0.471
0.208 0.244 0.964
0.780 0.244 0.536
0.220 0.756 0.464
0.792 0.756 0.036
0.765 0.794 0.529
0.000 0.500 0.500
0.500 0.500 0.000

=====

ZnCo2S4 PBE relaxed; uncorrected formation energy = -0.4918 eV per atom; energy above the lowest structure with this stoichiometry = 0 meV per atom; total magnetization = 0.00 Bohr magnetons per cell; space group = Fd-3m (227)
1.0
-6.630 1.560 -0.055
-3.995 -1.929 5.167
-2.441 4.649 4.337
S Co Zn
8 4 2
direct
0.859 0.423 0.859
0.859 0.859 0.859
0.391 0.391 0.391
0.423 0.859 0.859
0.859 0.859 0.423
0.827 0.391 0.391
0.391 0.827 0.391
0.391 0.391 0.827
0.625 0.625 0.625
0.625 0.625 0.125
0.125 0.625 0.625
0.625 0.125 0.625
0.000 0.000 0.000
0.250 0.250 0.250

=====

ZnCo2S PBE relaxed; uncorrected formation energy = 0.1372 eV per atom; total magnetization = 0.00 Bohr magnetons per cell; space group = I-42d (122)
1.0
-5.575 3.003 -0.516
-3.038 -5.392 1.436
-4.207 -0.572 3.007
Co Zn S
4 2 2
direct
0.375 0.447 0.750
0.553 0.125 0.250
0.197 0.625 0.250
0.875 0.803 0.750
0.000 0.000 0.000
0.750 0.250 0.500
0.500 0.500 0.000
0.250 0.750 0.500

=====

Zn2CoS3 PBE relaxed; uncorrected formation energy = -0.5573 eV per atom; total magnetization = 2.10 Bohr magnetons per cell; space group = P3m1 (156)
1.0
-0.279 3.663 0.784
-1.345 -1.334 -3.244
-8.257 -1.492 4.036
Co Zn S
1 2 3
direct
0.000 0.000 0.995
0.667 0.333 0.330
0.333 0.667 0.674
0.000 0.000 0.240
0.333 0.667 0.928
0.667 0.333 0.584

=====

Zn2Co2S PBE relaxed; uncorrected formation energy = -0.0419 eV per atom; total magnetization = 1.19 Bohr magnetons per cell; space group = P4/mbm (127)
1.0
5.725 0.000 0.000
0.000 5.725 0.000
0.000 0.000 3.966
Zn Co S
4 4 2
direct
0.349 0.151 0.500
0.151 0.651 0.500
0.651 0.849 0.500
0.849 0.349 0.500
0.661 0.161 0.000
0.839 0.661 0.000
0.161 0.339 0.000
0.339 0.839 0.000
0.500 0.500 0.000
0.000 0.000 0.000

=====

Zn2CoS PBE relaxed; uncorrected formation energy = 0.2132 eV per atom; total magnetization = 2.56 Bohr magnetons per cell; space group = I-42d (122)
1.0
7.985 0.000 0.000
0.000 7.985 0.000
3.993 3.993 2.129
S Zn Co
2 4 2
direct
0.500 0.500 0.000
0.250 0.750 0.500
0.375 0.454 0.750
0.204 0.625 0.250
0.546 0.125 0.250
0.875 0.796 0.750
0.000 0.000 0.000
0.750 0.250 0.500

=====

Zr2CoS2 PBE relaxed; uncorrected formation energy = -0.8522 eV per atom; energy above the lowest structure with this stoichiometry = 0 meV per atom; total magnetization = 1.51 Bohr magnetons per cell; space group = P4/mbm (127)
1.0
-3.921 -1.542 5.445
4.484 -4.888 1.844
1.697 2.259 1.862
Zr Co S
4 2 4
direct
0.842 0.342 0.500
0.658 0.842 0.500
0.342 0.158 0.500
0.158 0.658 0.500
0.000 0.000 0.000
0.500 0.500 0.000
0.148 0.352 0.000
0.852 0.648 0.000
0.648 0.148 0.000
0.352 0.852 0.000

=====

Zr2CoS2 PBE relaxed; uncorrected formation energy = -0.6821 eV per atom; energy above the lowest structure with this stoichiometry = 170 meV per atom; total magnetization = 1.62 Bohr magnetons per cell; space group = P4/mbm (127)
1.0
7.101 0.000 0.000
0.000 7.101 0.000
0.000 0.000 3.406
S Zr Co
4 4 2
direct
0.359 0.141 0.500
0.641 0.859 0.500
0.141 0.641 0.500
0.859 0.359 0.500
0.158 0.342 0.000
0.342 0.842 0.000
0.658 0.158 0.000
0.842 0.658 0.000
0.000 0.000 0.000
0.500 0.500 0.000

=====

Zr3CoS6 PBE relaxed; uncorrected formation energy = -1.2683 eV per atom; total magnetization = 2.04 Bohr magnetons per cell; space group = Cmc2_1 (36)
1.0
6.049 0.000 0.000
0.000 7.797 -1.794
0.000 0.289 7.995
S Zr Co
12 6 2
direct
0.209 0.446 0.909
0.672 0.227 0.773
0.674 0.303 0.372
0.674 0.628 0.697
0.172 0.773 0.227
0.174 0.697 0.628
0.671 0.965 0.035
0.171 0.035 0.965
0.174 0.372 0.303
0.709 0.909 0.446
0.709 0.554 0.091
0.209 0.091 0.554
0.484 0.930 0.727
0.984 0.727 0.930
0.984 0.070 0.273
0.484 0.273 0.070
0.864 0.609 0.391
0.364 0.391 0.609
0.544 0.797 0.203
0.044 0.203 0.797

=====

Zr4CoS PBE relaxed; uncorrected formation energy = -0.4717 eV per atom; total magnetization = 0.00 Bohr magnetons per cell; space group = C2/m (12)
1.0
-1.661 -2.547 1.630
-1.366 -2.660 -5.547
9.655 -5.799 0.779
Zr Co S
8 2 2
direct
0.500 0.175 0.865
0.000 0.675 0.365
0.500 0.825 0.135
0.500 0.159 0.362
0.000 0.341 0.138
0.500 0.841 0.638
0.000 0.325 0.635
0.000 0.659 0.862
0.500 0.500 0.000
0.000 0.000 0.500
0.000 0.000 0.000
0.500 0.500 0.500

=====

Zr3CoS PBE relaxed; uncorrected formation energy = -0.0656 eV per atom; energy above the lowest structure with this stoichiometry = 0 meV per atom; total magnetization = 0.00 Bohr magnetons per cell; space group = Pm-3m (221)
1.0
-2.304 2.414 3.377
-3.676 -2.980 -0.378
1.928 -2.798 3.315
Zr S Co
3 1 1
direct
0.500 0.000 0.000
0.000 0.000 0.500
0.000 0.500 0.000
0.000 0.000 0.000
0.500 0.500 0.500

=====

Zr2CoS2 PBE relaxed; uncorrected formation energy = -0.2834 eV per atom; energy above the lowest structure with this stoichiometry = 569 meV per atom; total magnetization = 1.28 Bohr magnetons per cell; space group = I4/mmm (139)
1.0
4.156 0.000 0.000
0.000 4.156 0.000
2.078 2.078 6.019
Zr S Co
2 2 1
direct
0.626 0.626 0.748
0.374 0.374 0.252
0.250 0.750 0.500
0.750 0.250 0.500
0.000 0.000 0.000

=====

CoSb PBE relaxed; uncorrected formation energy = 0.2987 eV per atom; total magnetization = 0.00 Bohr magnetons per cell; space group = Pmmn (59)
1.0
3.668 0.000 0.000
0.000 5.458 0.000
0.000 0.000 12.888
Co Sb
6 6
direct
0.500 0.539 0.500
0.500 0.035 0.181
0.000 0.461 0.000
0.000 0.965 0.319
0.000 0.965 0.681
0.500 0.035 0.819
0.000 0.837 0.500
0.500 0.260 0.648
0.000 0.740 0.852
0.500 0.163 0.000
0.500 0.260 0.352
0.000 0.740 0.148

=====

CoSb PBE relaxed; uncorrected formation energy = 0.0778 eV per atom; total magnetization = 2.58 Bohr magnetons per cell; space group = R-3m (166)
1.0
6.408 -0.004 -0.003
5.200 3.745 -0.003
5.200 1.676 3.349
Co Sb
2 2
direct
0.657 0.657 0.657
0.343 0.343 0.343
0.912 0.912 0.912
0.088 0.088 0.088

=====

Co4Sb5 PBE relaxed; uncorrected formation energy = 0.5227 eV per atom; total magnetization = 6.30 Bohr magnetons per cell; space group = I4/mmm (139)
1.0
1.343 -6.285 0.765
-4.593 3.945 2.286
-1.828 -0.137 -6.207
Co Sb
4 5
direct
0.000 0.368 0.368
0.368 0.000 0.368
0.632 0.000 0.632
0.000 0.632 0.632
0.000 0.000 0.000
0.687 0.313 0.000
0.313 0.313 0.627
0.313 0.687 0.000
0.687 0.687 0.373

=====

CoSb PBE relaxed; uncorrected formation energy = 0.0483 eV per atom; total magnetization = 0.00 Bohr magnetons per cell; space group = Amm2 (38)
1.0
3.899 0.000 0.000
0.000 8.663 0.000
0.000 0.000 6.144
Co Sb
6 6
direct
0.500 0.271 0.036
0.500 0.729 0.036
0.500 0.229 0.536
0.000 0.500 0.079
0.500 0.771 0.536
0.000 0.000 0.579
0.000 0.824 0.256
0.000 0.676 0.756
0.000 0.176 0.256
0.500 0.500 0.339
0.500 0.000 0.839
0.000 0.324 0.756

=====

CoSb PBE relaxed; uncorrected formation energy = 0.1498 eV per atom; total magnetization = 0.16 Bohr magnetons per cell; space group = P-6m2 (187)
1.0
-2.401 -0.155 2.831
0.095 -2.740 -2.507
2.012 -1.420 1.629
Sb Co
1 1
direct
0.667 0.333 0.500
0.000 0.000 0.000

=====

CoSb PBE relaxed; uncorrected formation energy = 0.0301 eV per atom; total magnetization = 0.00 Bohr magnetons per cell; space group = Cmcm (63)
1.0
-3.673 -2.388 2.704
4.880 -0.636 -1.513
1.231 1.762 3.230
Sb Co
2 2
direct
0.859 0.141 0.750
0.141 0.859 0.250
0.417 0.583 0.250
0.583 0.417 0.750